Below is an optimized crystal structure of TlCrHgF6, with properties calculated at the PBE with a Hubbard U level. Values from VASP.

Quantum ESPRESSO input file:
```
&SYSTEM
  ibrav = 0, nat = 9, ntyp = 4
/
ATOMIC_SPECIES
Tl 204.38 Tl.upf
Cr 52.00 Cr.upf
Hg 200.59 Hg.upf
F 19.00 F.upf
ATOMIC_POSITIONS crystal
Tl 0.0000 0.0000 0.0000
Cr 0.3333 0.6667 0.5000
Hg 0.6667 0.3333 0.5000
F 0.0494 0.3990 0.6945
F 0.0494 0.6504 0.3055
F 0.3496 0.3990 0.3055
F 0.3496 0.9506 0.6945
F 0.6010 0.6504 0.6945
F 0.6010 0.9506 0.3055
CELL_PARAMETERS angstrom
5.8815 0.0000 0.0000
-2.9408 5.0936 0.0000
0.0000 0.0000 5.6183
```

Computed properties:
**E_tot**: -0.1657 Ha/atom
**DOS(E_F)**: 0.000 states/eV/atom
**M_tot**: 3.00 μB per formula unit